(1)
Below is a geometry-optimized Zr2Cr3Os structure, with properties calculated at the PBE level.

Structure (CIF):
```
data_Zr2Cr3Os
_cell_length_a 5.0388
_cell_length_b 5.0388
_cell_length_c 12.7879
_cell_angle_alpha 90.00
_cell_angle_beta 90.00
_cell_angle_gamma 120.00
_symmetry_space_group_name_H-M 'R -3 m'
_symmetry_Int_Tables_number 166
_symmetry_space_group_name_Hall '-R 3 2"'
loop_
_atom_site_label
_atom_site_fract_x
_atom_site_fract_y
_atom_site_fract_z
_atom_site_occupancy
Zr1 0.0000 0.0000 0.1247 1
Cr1 0.0000 0.5000 0.0000 1
Os1 0.0000 0.0000 0.5000 1
```

---

(2)
Below is a geometry-optimized Nd3Tm2Sc2 structure, with properties calculated at the PBE level.

Structure (CIF):
```
data_Nd3Tm2Sc2
_cell_length_a 5.295
_cell_length_b 23.429
_cell_length_c 3.456
_cell_angle_alpha 90.00
_cell_angle_beta 90.00
_cell_angle_gamma 90.00
_symmetry_space_group_name_H-M 'C m m m'
_symmetry_Int_Tables_number 65
_symmetry_space_group_name_Hall '-C 2 2'
loop_
_atom_site_label
_atom_site_fract_x
_atom_site_fract_y
_atom_site_fract_z
_atom_site_occupancy
Nd1 0.000 0.000 0.000 1
Nd2 0.000 0.149 0.000 1
Tm1 0.000 0.288 0.500 1
Sc1 0.000 0.430 0.500 1
```

---

(3)
Below is a geometry-optimized Hf8Sn2Pb structure, with properties calculated at the PBE level.

Structure (CIF):
```
data_Hf8Sn2Pb
_cell_length_a 7.829
_cell_length_b 13.277
_cell_length_c 5.425
_cell_angle_alpha 90.00
_cell_angle_beta 114.69
_cell_angle_gamma 90.00
_symmetry_space_group_name_H-M 'C 1 2/m 1'
_symmetry_Int_Tables_number 12
loop_
_symmetry_equiv_pos_as_xyz
'x,y,z'
'-x,-y,-z'
'-x,y,-z'
'x,-y,z'
'x+1/2,y+1/2,z'
'-x+1/2,-y+1/2,-z'
'-x+1/2,y+1/2,-z'
'x+1/2,-y+1/2,z'
loop_
_atom_site_label
_atom_site_fract_x
_atom_site_fract_y
_atom_site_fract_z
_atom_site_occupancy
Hf1 0.000 0.228 0.000 1
Hf2 0.084 0.500 0.802 1
Hf3 0.206 0.112 0.644 1
Sn1 0.000 0.305 0.500 1
Pb1 0.000 0.000 0.000 1
```

---

(4)
Below is a geometry-optimized SmPIrO structure, with properties calculated at the PBE level.

Structure (CIF):
```
data_SmPIrO
_cell_length_a 3.998
_cell_length_b 3.998
_cell_length_c 8.267
_cell_angle_alpha 90.00
_cell_angle_beta 90.00
_cell_angle_gamma 90.00
_symmetry_space_group_name_H-M 'P 4/n m m'
_symmetry_Int_Tables_number 129
loop_
_symmetry_equiv_pos_as_xyz
'x,y,z'
'-x,-y,-z'
'-y+1/2,x,z'
'y+1/2,-x,-z'
'-x+1/2,-y+1/2,z'
'x+1/2,y+1/2,-z'
'y,-x+1/2,z'
'-y,x+1/2,-z'
'x+1/2,-y,-z'
'-x+1/2,y,z'
'-y,-x,-z'
'y,x,z'
'-x,y+1/2,-z'
'x,-y+1/2,z'
'y+1/2,x+1/2,-z'
'-y+1/2,-x+1/2,z'
loop_
_atom_site_label
_atom_site_fract_x
_atom_site_fract_y
_atom_site_fract_z
_atom_site_occupancy
Sm1 0.250 0.250 0.140 1
P1 0.250 0.250 0.657 1
Ir1 0.250 0.750 0.500 1
O1 0.250 0.750 0.000 1
```

Calculated values
Raw formation energy = -1943 meV per atom

---

(5)
Below is a geometry-optimized TePW2 structure, with properties calculated at the PBE level.

Structure (CIF):
```
data_TePW2
_cell_length_a 5.434
_cell_length_b 8.899
_cell_length_c 3.562
_cell_angle_alpha 90.00
_cell_angle_beta 123.86
_cell_angle_gamma 90.00
_symmetry_space_group_name_H-M 'C 1 2/m 1'
_symmetry_Int_Tables_number 12
loop_
_symmetry_equiv_pos_as_xyz
'x,y,z'
'-x,-y,-z'
'-x,y,-z'
'x,-y,z'
'x+1/2,y+1/2,z'
'-x+1/2,-y+1/2,-z'
'-x+1/2,y+1/2,-z'
'x+1/2,-y+1/2,z'
loop_
_atom_site_label
_atom_site_fract_x
_atom_site_fract_y
_atom_site_fract_z
_atom_site_occupancy
Te1 0.000 0.000 0.000 1
P1 0.000 0.500 0.000 1
W1 0.250 0.250 0.500 1
```

Calculated values
Raw formation energy = 902 meV per atom

---

(6)
Below is a geometry-optimized Tm8SbPb5 structure, with properties calculated at the PBE level.

Structure (CIF):
```
data_Tm8SbPb5
_cell_length_a 9.245
_cell_length_b 9.245
_cell_length_c 9.260
_cell_angle_alpha 90.00
_cell_angle_beta 90.00
_cell_angle_gamma 90.00
_symmetry_space_group_name_H-M 'I -4'
_symmetry_Int_Tables_number 82
loop_
_symmetry_equiv_pos_as_xyz
'x,y,z'
'y,-x,-z'
'-x,-y,z'
'-y,x,-z'
'x+1/2,y+1/2,z+1/2'
'y+1/2,-x+1/2,-z+1/2'
'-x+1/2,-y+1/2,z+1/2'
'-y+1/2,x+1/2,-z+1/2'
loop_
_atom_site_label
_atom_site_fract_x
_atom_site_fract_y
_atom_site_fract_z
_atom_site_occupancy
Tm1 0.072 0.320 0.447 1
Tm2 0.073 0.178 0.802 1
Sb1 0.000 0.000 0.500 1
Pb1 0.000 0.500 0.750 1
Pb2 0.125 0.250 0.125 1
```

Calculated values
Raw formation energy = -551 meV per atom

---

(7)
Below is a geometry-optimized Al3Pb4 structure, with properties calculated at the PBE level.

Structure (CIF):
```
data_Al3Pb4
_cell_length_a 5.6027
_cell_length_b 5.6027
_cell_length_c 6.7266
_cell_angle_alpha 90.00
_cell_angle_beta 90.00
_cell_angle_gamma 120.00
_symmetry_space_group_name_H-M 'P 6/m m m'
_symmetry_Int_Tables_number 191
_symmetry_space_group_name_Hall '-P 6 2'
loop_
_atom_site_label
_atom_site_fract_x
_atom_site_fract_y
_atom_site_fract_z
_atom_site_occupancy
Al1 0.0000 0.5000 0.0000 1
Pb1 0.0000 0.0000 0.2503 1
Pb2 0.3333 0.6667 0.5000 1
```

---

(8)
Below is a geometry-optimized GaPdNO2 structure, with properties calculated at the PBE level.

Structure (CIF):
```
data_GaPdNO2
_cell_length_a 4.099
_cell_length_b 4.099
_cell_length_c 3.745
_cell_angle_alpha 90.00
_cell_angle_beta 90.00
_cell_angle_gamma 90.00
_symmetry_space_group_name_H-M 'P 4/m m m'
_symmetry_Int_Tables_number 123
_symmetry_space_group_name_Hall '-P 4 2'
loop_
_atom_site_label
_atom_site_fract_x
_atom_site_fract_y
_atom_site_fract_z
_atom_site_occupancy
Ga1 0.000 0.000 0.000 1
Pd1 0.500 0.500 0.500 1
N1 0.500 0.500 0.000 1
O1 0.000 0.500 0.500 1
```

Calculated values
Raw formation energy = 533 meV per atom

---

Number 1: final energy -9.747 eV/atom, spin magnetization 0.00 μB/cell. Number 2: final energy -5.045 eV/atom, spin magnetization 0.02 μB/cell. Number 3: final energy -8.289 eV/atom, spin magnetization 0.00 μB/cell. Number 4: final energy -7.930 eV/atom, spin magnetization 0.00 μB/cell. Number 5: final energy -7.712 eV/atom, spin magnetization 0.00 μB/cell. Number 6: final energy -4.725 eV/atom, spin magnetization 0.00 μB/cell. Number 7: final energy -3.537 eV/atom, spin magnetization 0.00 μB/cell. Number 8: final energy -4.759 eV/atom, spin magnetization 0.14 μB/cell.